The following is a DFT calculation (PBE) of a geometry-optimized SrEuSbBr structure.

Values from the calculation:
For the formation energy (no corrections), the calculation gives -5.24 eV/f.u. Its volume is 31.94 A^3/atom. As for the space group: F-43m, No. 216.

Cell lengths 5.6531, 5.6531, 5.6531 Å; angles 60.00, 60.00, 60.00 degrees
Positions (direct):
Sr1 0.0000 0.0000 0.0000
Eu1 0.5000 0.5000 0.5000
Sb1 0.2500 0.2500 0.2500
Br1 0.7500 0.7500 0.7500